Material: SrBi3Au3
Method: DFT, PBE
State: optimized geometry

Cell and atoms, written as CIF:
```
data_SrBi3Au3
_chemical_formula_sum 'Sr2 Bi6 Au6'
_symmetry_space_group_name_H-M 'P 63/m'
_symmetry_Int_Tables_number 176
_symmetry_space_group_name_Hall '-P 6c'
_cell_length_a 9.6616
_cell_length_b 9.6616
_cell_length_c 4.8599
_cell_angle_alpha 90.00
_cell_angle_beta 90.00
_cell_angle_gamma 120.00
loop_
_atom_site_label
_atom_site_type_symbol
_atom_site_fract_x
_atom_site_fract_y
_atom_site_fract_z
_atom_site_occupancy
Sr1 Sr 0.3333 0.6667 0.2500 1
Bi1 Bi 0.0588 0.2915 0.7500 1
Au1 Au 0.0644 0.5947 0.7500 1
```

Computed properties:
Energy of formation, kJ/mol of atoms: -36.50
Energy above the most stable polymorph in this dataset, meV/atom: 0

---

Material: SrBi2Au
Method: DFT, PBE
State: optimized geometry

Cell and atoms, written as CIF:
```
data_SrBi2Au
_chemical_formula_sum 'Sr4 Bi8 Au4'
_symmetry_space_group_name_H-M 'I -4 2 d'
_symmetry_Int_Tables_number 122
_symmetry_space_group_name_Hall 'I -4 2bw'
_cell_length_a 4.753
_cell_length_b 4.753
_cell_length_c 23.058
_cell_angle_alpha 90.00
_cell_angle_beta 90.00
_cell_angle_gamma 90.00
loop_
_atom_site_label
_atom_site_type_symbol
_atom_site_fract_x
_atom_site_fract_y
_atom_site_fract_z
_atom_site_occupancy
Sr1 Sr 0.000 0.000 0.000 1
Bi1 Bi 0.209 0.250 0.625 1
Au1 Au 0.000 0.000 0.500 1
```

Computed properties:
Energy of formation, kJ/mol of atoms: -31.71

---

Material: SrBi2Au
Method: DFT, PBE
State: optimized geometry

Cell and atoms, written as CIF:
```
data_SrBi2Au
_chemical_formula_sum 'Sr8 Bi16 Au8'
_symmetry_space_group_name_H-M 'C m c m'
_symmetry_Int_Tables_number 63
_symmetry_space_group_name_Hall '-C 2c 2'
_cell_length_a 4.709
_cell_length_b 19.279
_cell_length_c 11.040
_cell_angle_alpha 90.00
_cell_angle_beta 90.00
_cell_angle_gamma 90.00
loop_
_atom_site_label
_atom_site_type_symbol
_atom_site_fract_x
_atom_site_fract_y
_atom_site_fract_z
_atom_site_occupancy
Sr1 Sr 0.000 0.000 0.000 1
Sr2 Sr 0.000 0.181 0.250 1
Bi1 Bi 0.000 0.202 0.583 1
Bi2 Bi 0.000 0.382 0.250 1
Bi3 Bi 0.000 0.455 0.750 1
Au1 Au 0.000 0.365 0.540 1
```

Computed properties:
Energy of formation, kJ/mol of atoms: -48.52

---

| no. | uncorrected energy (eV/cell) |
| --- | --- |
| 1 | -51.61 |
| 2 | -56.14 |
| 3 | -117.86 |